{
  "formula": "RbHg8Au2",
  "functional": "PBE-GGA",
  "state": "relaxed",
  "formation_energy_ev_per_atom": 0.00,
  "dos_at_fermi_per_ev_cell": 4.42,
  "dft_energy_ev_per_atom": -0.901,
  "space_group": "No. 139",
  "lattice_angstrom": [[-3.2168, 3.2168, 9.8048], [3.2168, -3.2168, 9.8048], [3.2168, 3.2168, -9.8048]],
  "species": ["Rb", "Hg", "Hg", "Hg", "Hg", "Hg", "Hg", "Hg", "Hg", "Au", "Au"],
  "frac_coords": [[0.0000, 0.0000, 0.0000], [0.1000, 0.1000, 0.5042], [0.1000, 0.5958, 0.0000], [0.4042, 0.4042, 0.5042], [0.4042, 0.9000, 0.0000], [0.5958, 0.1000, 0.0000], [0.5958, 0.5958, 0.4958], [0.9000, 0.4042, 0.0000], [0.9000, 0.9000, 0.4958], [0.2500, 0.7500, 0.5000], [0.7500, 0.2500, 0.5000]]
}